[1]
Density functional theory data (PBE) for a geometry-optimized HgSbSe2 structure.

POSCAR file:
```
HgSbSe2
1.0
5.902 0.000 0.000
0.000 5.902 0.000
0.000 0.000 15.224
Hg Sb Se
4 4 8
direct
0.000 0.000 0.000
0.000 0.500 0.250
0.500 0.000 0.750
0.500 0.500 0.500
0.000 0.000 0.500
0.000 0.500 0.750
0.500 0.000 0.250
0.500 0.500 0.000
0.244 0.250 0.625
0.250 0.744 0.875
0.250 0.756 0.375
0.256 0.250 0.125
0.744 0.750 0.125
0.750 0.244 0.375
0.750 0.256 0.875
0.756 0.750 0.625
```

Calculated values
Formation energy from raw total energies ... 0.048 eV/f.u.
Energy above the lowest structure with this stoichiometry ... 0.650 eV/f.u.
Total moment ... 0.00 μB per cell
Density ... 6.02 g/cm³

***

[2]
Density functional theory data (PBE) for a geometry-optimized PmUF2 structure.

POSCAR file:
```
PmUF2
1.0
3.285 0.000 0.000
-1.643 2.845 0.000
0.000 0.000 25.067
Pm U F
3 3 6
direct
0.000 0.000 0.000
0.333 0.667 0.667
0.667 0.333 0.333
0.000 0.000 0.500
0.333 0.667 0.167
0.667 0.333 0.833
0.000 0.000 0.097
0.000 0.000 0.903
0.333 0.667 0.570
0.333 0.667 0.764
0.667 0.333 0.236
0.667 0.333 0.430
```

Calculated values
Formation energy from raw total energies ... -7.188 eV/f.u.
Total moment ... 9.26 μB per cell
Density ... 8.95 g/cm³

***

[3]
Density functional theory data (PBE) for a geometry-optimized NdSm12Y3 structure.

POSCAR file:
```
NdSm12Y3
1.0
5.122 0.000 0.000
0.000 5.122 0.000
0.000 0.000 20.459
Nd Sm Y
1 12 3
direct
0.000 0.000 0.000
0.000 0.500 0.126
0.000 0.500 0.375
0.000 0.500 0.625
0.000 0.500 0.874
0.500 0.000 0.126
0.500 0.000 0.375
0.500 0.000 0.625
0.500 0.000 0.874
0.500 0.500 0.000
0.500 0.500 0.251
0.500 0.500 0.500
0.500 0.500 0.749
0.000 0.000 0.251
0.000 0.000 0.500
0.000 0.000 0.749
```

Calculated values
E_form ... 0.02 eV/atom
Total moment ... 0.00 μB per cell
Density ... 6.85 g/cm³

***

[4]
Density functional theory data (PBE) for a geometry-optimized Sc6Tl3Ru structure.

POSCAR file:
```
Sc6Tl3Ru
1.0
8.779 0.000 0.000
0.000 4.962 0.000
-2.896 0.000 10.181
Sc Tl Ru
12 6 2
direct
0.052 0.250 0.417
0.195 0.750 0.172
0.288 0.250 0.005
0.356 0.750 0.829
0.370 0.250 0.328
0.411 0.250 0.643
0.589 0.750 0.357
0.630 0.750 0.672
0.644 0.250 0.171
0.712 0.750 0.995
0.805 0.250 0.828
0.948 0.750 0.583
0.012 0.750 0.883
0.110 0.250 0.715
0.286 0.750 0.481
0.714 0.250 0.519
0.890 0.750 0.285
0.988 0.250 0.117
0.460 0.750 0.097
0.540 0.250 0.903
```

Calculated values
E_form ... -0.32 eV/atom
Total moment ... 1.37 μB per cell
Density ... 7.37 g/cm³

***

[5]
Density functional theory data (PBE) for a geometry-optimized Rb5ErO4 structure.

POSCAR file:
```
Rb5ErO4
1.0
8.510 0.000 0.000
0.000 9.131 0.000
0.000 0.000 6.654
Rb Er O
10 2 8
direct
0.013 0.061 0.241
0.013 0.439 0.241
0.250 0.750 0.328
0.487 0.061 0.241
0.487 0.439 0.241
0.513 0.561 0.759
0.513 0.939 0.759
0.750 0.250 0.672
0.987 0.561 0.759
0.987 0.939 0.759
0.250 0.250 0.713
0.750 0.750 0.287
0.035 0.250 0.885
0.250 0.050 0.539
0.250 0.450 0.539
0.465 0.250 0.885
0.535 0.750 0.115
0.750 0.550 0.461
0.750 0.950 0.461
0.965 0.750 0.115
```

Calculated values
Formation energy from raw total energies ... -16.575 eV/f.u.
Energy above the lowest structure with this stoichiometry ... 0.000 eV/f.u.
Total moment ... 0.13 μB per cell
Density ... 4.23 g/cm³

***

[6]
Density functional theory data (PBE) for a geometry-optimized Mg5ScPb6 structure.

POSCAR file:
```
Mg5ScPb6
1.0
2.711 -8.098 0.000
2.711 8.098 0.000
0.000 0.000 7.099
Mg Sc Pb
5 1 6
direct
0.000 0.000 0.000
0.328 0.672 0.000
0.335 0.665 0.500
0.665 0.335 0.500
0.672 0.328 0.000
0.000 0.000 0.500
0.166 0.834 0.251
0.166 0.834 0.749
0.500 0.500 0.249
0.500 0.500 0.751
0.834 0.166 0.251
0.834 0.166 0.749
```

Calculated values
E_form ... -0.09 eV/atom
Total moment ... 0.00 μB per cell
Density ... 7.51 g/cm³

***

[7]
Density functional theory data (PBE) for a geometry-optimized Nb2SnC structure.

POSCAR file:
```
Nb2SnC
1.0
3.276 0.000 0.000
-1.638 2.837 0.000
0.000 0.000 13.896
Nb Sn C
4 2 2
direct
0.333 0.667 0.083
0.333 0.667 0.417
0.667 0.333 0.583
0.667 0.333 0.917
0.333 0.667 0.750
0.667 0.333 0.250
0.000 0.000 0.000
0.000 0.000 0.500
```

Calculated values
E_form ... -0.43 eV/atom
Energy above the lowest structure with this stoichiometry ... 0.000 eV/f.u.
Total moment ... 0.00 μB per cell
Density ... 8.14 g/cm³

***

[8]
Density functional theory data (PBE) for a geometry-optimized SmYTmCu structure.

POSCAR file:
```
SmYTmCu
1.0
3.487 0.000 0.000
0.000 3.487 0.000
0.000 0.000 8.741
Sm Y Tm Cu
1 1 1 1
direct
0.000 0.000 0.000
0.500 0.500 0.690
0.500 0.500 0.303
0.000 0.000 0.487
```

Calculated values
E_form ... -0.11 eV/atom
Total moment ... 0.00 μB per cell
Density ... 7.37 g/cm³

***

| no. | Fermi-level density of states (states/eV per cell) |
| --- | --- |
| 1 | 5.7 |
| 2 | 18.5 |
| 3 | 23.7 |
| 4 | 17.1 |
| 5 | 0.0 |
| 6 | 5.2 |
| 7 | 3.3 |
| 8 | 4.6 |